Computed, not measured: a relaxed RbTc2H crystal at the PBE level of DFT.

## Properties
* space-group type: Fm-3m (225)
* Fermi-level density of states: 5.496 states/eV per cell
* electronic total energy: -14.6 eV for the cell shown

abc: 4.4343 4.4343 4.4343
angles: 60.00 60.00 60.00
With the nearest neighbours (Å) after each atom.
Element x y z (fractional)
Rb 0.0000 0.0000 0.0000  8 Tc 2.72
Tc 0.2500 0.2500 0.2500  4 H 2.72, 4 Rb 2.72
Tc 0.7500 0.7500 0.7500  4 H 2.72, 4 Rb 2.72
H 0.5000 0.5000 0.5000  8 Tc 2.72